Entry 1:
VASP calculation (PBE) on a relaxed HgS2Cl crystal.

Output
For the total energy, the calculation gives -2.69 eV per atom. The symmetry is P1, No. 1. The excess energy over the best structure of this formula in the dataset is 0.00 eV per formula unit. The calculation puts the spin magnetization at 0.0 μB/f.u.

Unit cell a=4.385 b=6.329 c=7.086 alpha=76.36 beta=90.16 gamma=40.23
Element x y z (fractional)
S  0.207  0.257  0.343
S  0.877  0.772  0.486
Hg  0.896  0.428  0.745
Cl  0.049  0.974  0.938

=====

Entry 2:
VASP calculation (PBE) on a relaxed NaHg2Rh2 crystal.

Output
The formation energy is 251 meV per atom. For the total energy, the calculation gives -3.07 eV per atom. The symmetry is I4/mmm, No. 139. The excess energy over the best structure of this formula in the dataset is 0.89 eV per formula unit. The calculation puts the spin magnetization at 0.0 μB/f.u.

Unit cell a=4.959 b=4.959 c=5.744 alpha=64.43 beta=64.43 gamma=90.00
Element x y z (fractional)
Rh  0.631  0.631  0.739
Rh  0.369  0.369  0.261
Hg  0.750  0.250  0.500
Hg  0.250  0.750  0.500
Na  0.000  0.000  0.000

=====

Entry 3:
VASP calculation (PBE) on a relaxed AcDy2ErSe4 crystal.

Output
For the total energy, the calculation gives -5.70 eV per atom. The symmetry is P2/m, No. 10. The calculation puts the spin magnetization at 0.0 μB/f.u.

Unit cell a=4.085 b=7.132 c=7.431 alpha=71.56 beta=90.00 gamma=90.00
Element x y z (fractional)
Se  0.500  0.755  0.263
Se  0.500  0.245  0.737
Se  0.000  0.767  0.729
Se  0.000  0.233  0.271
Er  0.000  0.500  0.500
Dy  0.000  0.000  0.000
Dy  0.500  0.000  0.500
Ac  0.500  0.500  0.000

=====

Entry 4:
VASP calculation (PBE) on a relaxed Pa3TcGe2 crystal.

Output
The formation energy is -419 meV per atom. For the total energy, the calculation gives -8.43 eV per atom. The symmetry is Pnma, No. 62. The excess energy over the best structure of this formula in the dataset is 0.00 eV per formula unit. The calculation puts the spin magnetization at 0.0 μB/f.u.

Unit cell a=4.279 b=10.109 c=12.066 alpha=90.00 beta=90.00 gamma=90.00
Element x y z (fractional)
Tc  0.250  0.148  0.112
Tc  0.750  0.648  0.388
Tc  0.750  0.852  0.888
Tc  0.250  0.352  0.612
Pa  0.750  0.227  0.256
Pa  0.250  0.410  0.047
Pa  0.250  0.061  0.871
Pa  0.750  0.910  0.453
Pa  0.250  0.773  0.744
Pa  0.750  0.590  0.953
Pa  0.250  0.727  0.244
Pa  0.250  0.090  0.547
Pa  0.750  0.939  0.129
Pa  0.250  0.439  0.371
Pa  0.750  0.273  0.756
Pa  0.750  0.561  0.629
Ge  0.250  0.790  0.003
Ge  0.750  0.518  0.199
Ge  0.750  0.982  0.699
Ge  0.750  0.290  0.497
Ge  0.250  0.018  0.301
Ge  0.250  0.482  0.801
Ge  0.250  0.710  0.503
Ge  0.750  0.210  0.997

=====

Entry 5:
VASP calculation (PBE) on a relaxed AlPIr2 crystal.

Output
The formation energy is -404 meV per atom. For the total energy, the calculation gives -7.12 eV per atom. The symmetry is Pmm2, No. 25. The excess energy over the best structure of this formula in the dataset is 0.09 eV per formula unit. The calculation puts the spin magnetization at 0.0 μB/f.u.

Unit cell a=4.505 b=2.957 c=4.213 alpha=90.01 beta=90.00 gamma=90.00
Element x y z (fractional)
Ir  0.000  0.875  0.001
Ir  0.500  0.375  0.256
P  0.000  0.375  0.505
Al  0.500  0.875  0.738

=====

Entry 6:
VASP calculation (PBE) on a relaxed LiVBr5 crystal.

Output
For the total energy, the calculation gives -3.66 eV per atom. The symmetry is C2/c, No. 15. The calculation puts the spin magnetization at 1.0 μB/f.u.

Unit cell a=7.954 b=7.954 c=9.654 alpha=73.95 beta=73.95 gamma=50.09
Each line ends with the local moment (μB).
Element x y z (fractional)
Br  0.036  0.676  0.119  -0.08
Br  0.395  0.814  0.025  -0.01
Br  0.186  0.605  0.475  -0.01
Br  0.160  0.840  0.750  -0.02
Br  0.840  0.160  0.250  -0.02
Br  0.324  0.964  0.381  -0.08
Br  0.605  0.186  0.975  -0.01
Br  0.964  0.324  0.881  -0.08
Br  0.814  0.395  0.525  -0.01
Br  0.676  0.036  0.619  -0.08
V  0.000  0.000  0.000  1.16
V  0.000  0.000  0.500  1.16
Li  0.549  0.451  0.750  0.00
Li  0.451  0.549  0.250  0.00

=====

Entry 7:
VASP calculation (PBE) on a relaxed CrNi12Pt3 crystal.

Output
The formation energy is -49 meV per atom. For the total energy, the calculation gives -6.12 eV per atom. The symmetry is P4/mmm, No. 123. The calculation puts the spin magnetization at 4.5 μB/f.u.

Unit cell a=3.629 b=3.629 c=14.506 alpha=90.00 beta=90.00 gamma=90.00
Each line ends with the local moment (μB).
Element x y z (fractional)
Ni  0.500  0.000  0.118  -0.23
Ni  0.500  0.000  0.627  -0.74
Ni  0.000  0.500  0.373  -0.74
Ni  0.500  0.000  0.882  -0.23
Ni  0.500  0.000  0.373  -0.74
Ni  0.000  0.500  0.627  -0.74
Ni  0.500  0.500  0.000  -0.15
Ni  0.500  0.500  0.245  -0.54
Ni  0.500  0.500  0.500  -0.78
Ni  0.000  0.500  0.118  -0.23
Ni  0.500  0.500  0.755  -0.54
Ni  0.000  0.500  0.882  -0.23
Pt  0.000  0.000  0.754  -0.28
Pt  0.000  0.000  0.246  -0.28
Pt  0.000  0.000  0.500  -0.36
Cr  0.000  0.000  0.000  2.00

=====

Entry 8:
VASP calculation (PBE) on a relaxed TiCoSnRh crystal.

Output
The formation energy is -501 meV per atom. For the total energy, the calculation gives -7.09 eV per atom. The symmetry is F-43m, No. 216. The excess energy over the best structure of this formula in the dataset is 0.02 eV per formula unit. The calculation puts the spin magnetization at 1.9 μB/f.u.

Unit cell a=4.415 b=4.415 c=4.415 alpha=60.00 beta=60.00 gamma=60.00
Each line ends with the local moment (μB).
Element x y z (fractional)
Rh  0.000  0.000  0.000  0.35
Sn  0.750  0.750  0.750  0.03
Co  0.500  0.500  0.500  1.35
Ti  0.250  0.250  0.250  0.14

=====

Entry 9:
VASP calculation (PBE) on a relaxed NaCa2Cd crystal.

Output
The formation energy is -160 meV per atom. For the total energy, the calculation gives -1.72 eV per atom. The symmetry is P4/mmm, No. 123. The calculation puts the spin magnetization at 0.0 μB/f.u.

Unit cell a=3.875 b=3.875 c=8.867 alpha=90.00 beta=90.00 gamma=90.00
Element x y z (fractional)
Cd  0.500  0.500  0.000
Ca  0.000  0.000  0.209
Ca  0.000  0.000  0.791
Na  0.500  0.500  0.500

=====

Entry 10:
VASP calculation (PBE) on a relaxed Ga2NiAs crystal.

Output
The formation energy is 164 meV per atom. For the total energy, the calculation gives -3.96 eV per atom. The symmetry is I-42d, No. 122. The calculation puts the spin magnetization at 0.0 μB/f.u.

Unit cell a=5.815 b=5.815 c=6.600 alpha=63.86 beta=63.86 gamma=90.00
Element x y z (fractional)
Ga  0.875  0.854  0.750
Ga  0.375  0.396  0.750
Ga  0.146  0.625  0.250
Ga  0.604  0.125  0.250
Ni  0.500  0.500  0.000
Ni  0.250  0.750  0.500
As  0.750  0.250  0.500
As  0.000  0.000  0.000

=====

Entry 11:
VASP calculation (PBE) on a relaxed MgBe3Pb crystal.

Output
The formation energy is 1293 meV per atom. For the total energy, the calculation gives -2.00 eV per atom. The symmetry is Pm-3m, No. 221. The excess energy over the best structure of this formula in the dataset is 0.00 eV per formula unit. The calculation puts the spin magnetization at 0.0 μB/f.u.

Unit cell a=4.614 b=4.614 c=4.614 alpha=90.00 beta=90.00 gamma=90.00
Element x y z (fractional)
Be  0.000  0.500  0.000
Be  0.000  0.000  0.500
Be  0.500  0.000  0.000
Mg  0.000  0.000  0.000
Pb  0.500  0.500  0.500

=====

Entry 12:
VASP calculation (PBE) on a relaxed YNb2RuN crystal.

Output
For the total energy, the calculation gives -9.06 eV per atom. The symmetry is P4/mmm, No. 123. The calculation puts the spin magnetization at 0.0 μB/f.u.

Unit cell a=4.320 b=4.408 c=4.320 alpha=90.00 beta=90.00 gamma=90.00
Element x y z (fractional)
Y  0.500  0.500  0.500
Ru  0.000  0.500  0.000
Nb  0.500  0.000  0.000
Nb  0.000  0.000  0.500
N  0.000  0.000  0.000

=====

Entry 13:
VASP calculation (PBE) on a relaxed MoN crystal.

Output
For the total energy, the calculation gives -9.95 eV per atom. The symmetry is P6_3/mmc, No. 194. The calculation puts the spin magnetization at 0.0 μB/f.u.

Unit cell a=2.876 b=2.876 c=5.691 alpha=90.00 beta=90.00 gamma=120.00
Element x y z (fractional)
Mo  0.000  0.000  0.000
Mo  0.000  0.000  0.500
N  0.333  0.667  0.750
N  0.667  0.333  0.250

=====

Entry 14:
VASP calculation (PBE) on a relaxed CaTcSe2 crystal.

Output
For the total energy, the calculation gives -5.59 eV per atom. The symmetry is R-3m, No. 166. The excess energy over the best structure of this formula in the dataset is 0.00 eV per formula unit. The calculation puts the spin magnetization at 1.0 μB/f.u.

Unit cell a=4.028 b=4.028 c=6.341 alpha=71.53 beta=71.53 gamma=59.91
Each line ends with the local moment (μB).
Element x y z (fractional)
Tc  0.750  0.750  0.750  0.83
Se  0.484  0.484  0.549  0.03
Se  0.016  0.016  0.951  0.03
Ca  0.250  0.250  0.250  -0.01

=====

Entry 15:
VASP calculation (PBE) on a relaxed Zn2Ni2Sn crystal.

Output
The formation energy is -46 meV per atom. For the total energy, the calculation gives -3.67 eV per atom. The symmetry is I4/mmm, No. 139. The calculation puts the spin magnetization at 0.0 μB/f.u.

Unit cell a=3.471 b=3.471 c=6.723 alpha=75.04 beta=75.04 gamma=90.00
Element x y z (fractional)
Sn  0.000  0.000  0.000
Ni  0.401  0.401  0.197
Ni  0.599  0.599  0.803
Zn  0.250  0.750  0.500
Zn  0.750  0.250  0.500

=====

Entry 16:
VASP calculation (PBE) on a relaxed ErScGe crystal.

Output
The formation energy is -534 meV per atom. For the total energy, the calculation gives -5.70 eV per atom. The symmetry is F-43m, No. 216. The excess energy over the best structure of this formula in the dataset is 0.53 eV per formula unit. The calculation puts the spin magnetization at 0.0 μB/f.u.

Unit cell a=4.710 b=4.710 c=4.710 alpha=60.00 beta=60.00 gamma=60.00
Element x y z (fractional)
Ge  0.250  0.250  0.250
Er  0.500  0.500  0.500
Sc  0.000  0.000  0.000

=====

Entry 17:
VASP calculation (PBE) on a relaxed Li4Pd2Pb3 crystal.

Output
The formation energy is -348 meV per atom. For the total energy, the calculation gives -3.59 eV per atom. The symmetry is C2/m, No. 12. The excess energy over the best structure of this formula in the dataset is 0.00 eV per formula unit. The calculation puts the spin magnetization at 0.0 μB/f.u.

Unit cell a=4.586 b=5.722 c=7.830 alpha=117.62 beta=107.03 gamma=90.00
Element x y z (fractional)
Li  0.211  0.208  0.421
Li  0.579  0.784  0.158
Li  0.789  0.792  0.579
Li  0.421  0.216  0.842
Pb  0.832  0.345  0.663
Pb  0.000  0.000  0.000
Pb  0.168  0.655  0.337
Pd  0.620  0.309  0.241
Pd  0.380  0.691  0.759

=====

Entry 18:
VASP calculation (PBE) on a relaxed Ac2UAs2N2 crystal.

Output
For the total energy, the calculation gives -7.91 eV per atom. The symmetry is C2/m, No. 12. The calculation puts the spin magnetization at 0.0 μB/f.u.

Unit cell a=4.214 b=6.479 c=7.104 alpha=65.26 beta=72.74 gamma=71.02
Element x y z (fractional)
N  0.823  0.276  0.078
N  0.177  0.724  0.922
As  0.553  0.204  0.691
As  0.447  0.796  0.309
U  0.000  0.000  0.000
Ac  0.811  0.656  0.722
Ac  0.189  0.344  0.278

=====

Entry 19:
VASP calculation (PBE) on a relaxed LiBeInF4 crystal.

Output
For the total energy, the calculation gives -4.98 eV per atom. The symmetry is P2_1/m, No. 11. The calculation puts the spin magnetization at 0.0 μB/f.u.

Unit cell a=4.961 b=5.294 c=8.565 alpha=90.00 beta=118.43 gamma=90.00
Element x y z (fractional)
Li  0.222  0.250  0.518
Li  0.778  0.750  0.482
F  0.972  0.514  0.333
F  0.653  0.250  0.757
F  0.347  0.750  0.243
F  0.972  0.986  0.333
F  0.554  0.250  0.445
F  0.446  0.750  0.555
F  0.028  0.014  0.667
F  0.028  0.486  0.667
Be  0.823  0.250  0.646
Be  0.177  0.750  0.354
In  0.521  0.750  0.853
In  0.479  0.250  0.147

=====

Entry 20:
VASP calculation (PBE) on a relaxed KTi2Au crystal.

Output
The formation energy is 704 meV per atom. For the total energy, the calculation gives -4.34 eV per atom. The symmetry is Fm-3m, No. 225. The excess energy over the best structure of this formula in the dataset is 0.00 eV per formula unit. The calculation puts the spin magnetization at 0.0 μB/f.u.

Unit cell a=4.787 b=4.787 c=4.787 alpha=60.00 beta=60.00 gamma=60.00
Element x y z (fractional)
K  0.000  0.000  0.000
Ti  0.750  0.750  0.750
Ti  0.250  0.250  0.250
Au  0.500  0.500  0.500